The following is a PBE with a Hubbard U calculation of an optimized crystal structure of Li5Fe3Ni2P6O24, from Alexandria.

## Properties
Fermi-level density of states, states/eV/atom: 0.000
Energy, eV per atom: -6.595
Total magnetization, μB/cell: 19.08

Unit cell a=8.3635 b=8.3991 c=8.5656 alpha=62.08 beta=62.00 gamma=63.25
With the nearest neighbours (Å) after each atom.
Fractional coordinates of all 40 atoms:
Li1 0.0000 0.0000 0.0000  2 O 1.90-2.11
Li2 0.0317 0.3580 0.8537  3 O 1.91-1.95
Li3 0.1103 0.8592 0.5366  5 O 2.06-2.20
Li4 0.2005 0.3613 0.5040  3 O 1.92-2.13
Li5 0.6805 0.5353 0.8055  4 O 1.97-2.14
Fe1 0.2371 0.5584 0.0098  5 O 1.90-2.12
Fe2 0.5207 0.8583 0.3123  6 O 1.93-2.07
Fe3 0.7339 0.0708 0.5115  6 O 1.94-2.16
Ni1 0.3872 0.7103 0.1613  6 O 2.09-2.30
Ni2 0.8710 0.2132 0.6686  6 O 2.06-2.23
P1 0.1267 0.1455 0.2055  4 O 1.50-1.59
P2 0.3168 0.9585 0.7024  4 O 1.53-1.58
P3 0.4414 0.4536 0.6187  4 O 1.52-1.58
P4 0.6154 0.2607 0.1317  4 O 1.52-1.59
P5 0.8240 0.7580 0.9148  4 O 1.51-1.58
P6 0.9284 0.6736 0.4097  4 O 1.53-1.59
O1 0.0543 0.1461 0.0743  1 P 1.50
O2 0.1317 0.1290 0.7098  1 P 1.56
O3 0.1375 0.6171 0.2718  1 P 1.59
O4 0.1966 0.3171 0.1253  1 P 1.53
O5 0.2701 0.3994 0.6653  1 P 1.52
O6 0.2799 0.9453 0.2470  1 P 1.59
O7 0.2909 0.8174 0.9094  1 P 1.58
O8 0.3313 0.8760 0.5678  1 P 1.54
O9 0.4235 0.5214 0.7681  1 P 1.55
O10 0.4668 0.6070 0.4184  1 P 1.58
O11 0.4815 0.4719 0.0818  1 P 1.59
O12 0.4965 0.0106 0.6367  1 P 1.53
O13 0.5028 0.1214 0.2206  1 P 1.52
O14 0.6253 0.7992 0.0672  1 P 1.57
O15 0.6305 0.2869 0.6096  1 P 1.57
O16 0.6906 0.2389 0.2749  1 P 1.53
O17 0.7703 0.2399 0.9426  1 P 1.56
O18 0.7780 0.7667 0.3151  1 P 1.53
O19 0.8369 0.9471 0.7440  1 P 1.58
O20 0.8422 0.6018 0.8604  1 P 1.51
O21 0.9011 0.4867 0.5709  1 P 1.56
O22 0.9212 0.8196 0.4760  1 P 1.54
O23 0.9811 0.1447 0.4075  1 P 1.58
O24 0.9895 0.7144 0.9781  1 P 1.55